(1)
Material: LiB4C4
Method: DFT, PBE
State: optimized geometry

Cell lengths 6.892, 2.754, 7.759 Å; angles 90.00, 99.92, 90.00 degrees
Space group P2_1/m (No. 11)
Inequivalent atoms, fractional coordinates:
Li (0.164, 0.250, 0.119) (multiplicity 2)
B (0.138, 0.250, 0.404) (multiplicity 2)
B (0.149, 0.250, 0.801) (multiplicity 2)
B (0.345, 0.750, 0.671) (multiplicity 2)
B (0.419, 0.750, 0.060) (multiplicity 2)
C (0.063, 0.750, 0.318) (multiplicity 2)
C (0.246, 0.750, 0.890) (multiplicity 2)
C (0.273, 0.250, 0.588) (multiplicity 2)
C (0.493, 0.750, 0.856) (multiplicity 2)

Results
- formation enthalpy at 0 K (eV per atom) = 0.1636
- VASP energy (Ry/atom) = -0.5230

(2)
Material: TlAg2Cl2
Method: DFT, PBE
State: optimized geometry

Cell lengths 8.885, 8.885, 3.335 Å; angles 90.00, 90.00, 90.00 degrees
Space group P4/mbm (No. 127)
Inequivalent atoms, fractional coordinates:
Tl (0.000, 0.000, 0.000) (multiplicity 2)
Ag (0.108, 0.392, 0.500) (multiplicity 4)
Cl (0.227, 0.727, 0.000) (multiplicity 4)

Results
- VASP energy (Ry/atom) = -0.1887
- raw formation energy (eV/f.u.) = -1.07

no.,relative energy among the computed polymorphs (meV per atom)
1,75
2,107